<1>
Cr3GaIr: relaxed, PBE-GGA.

V = 77.3 Å³/cell

Cell lengths 4.260, 4.260, 4.260 Å; angles 90.00, 90.00, 90.00 degrees
Fractional coordinates of all 5 atoms:
Cr 0.000 0.000 0.500
Cr 0.000 0.500 0.000
Cr 0.500 0.000 0.000
Ga 0.000 0.000 0.000
Ir 0.500 0.500 0.500


<2>
Cr3GaIr: relaxed, PBE-GGA.

V = 107.6 Å³/cell

Cell lengths 4.756, 4.756, 4.756 Å; angles 90.00, 90.00, 90.00 degrees
Fractional coordinates of all 5 atoms:
Cr 0.000 0.000 0.500
Cr 0.000 0.500 0.000
Cr 0.500 0.000 0.000
Ga 0.500 0.500 0.500
Ir 0.000 0.000 0.000


The most stable arrangement is <2>, and the next structure is 445 meV/atom less stable.


<1>
KCr3Ga: relaxed, PBE-GGA.

V = 77.5 Å³/cell

Cell lengths 4.263, 4.263, 4.263 Å; angles 90.00, 90.00, 90.00 degrees
Fractional coordinates of all 5 atoms:
K 0.000 0.000 0.000
Cr 0.000 0.000 0.500
Cr 0.000 0.500 0.000
Cr 0.500 0.000 0.000
Ga 0.500 0.500 0.500


<2>
KCr3Ga: relaxed, PBE-GGA.

V = 130.5 Å³/cell

Cell lengths 5.072, 5.072, 5.072 Å; angles 90.00, 90.00, 90.00 degrees
Fractional coordinates of all 5 atoms:
K 0.000 0.000 0.000
Cr 0.000 0.500 0.500
Cr 0.500 0.000 0.500
Cr 0.500 0.500 0.000
Ga 0.500 0.500 0.500


The most stable arrangement is <2>, and the next structure is 1636 meV/atom less stable.


<1>
KCr2Ga2: relaxed, PBE-GGA.

V = 101.0 Å³/cell

Cell lengths 9.986, 9.986, 9.986 Å; angles 161.43, 161.43, 26.39 degrees
Fractional coordinates of all 5 atoms:
K 0.000 0.000 0.000
Cr 0.250 0.750 0.500
Cr 0.750 0.250 0.500
Ga 0.362 0.362 0.000
Ga 0.638 0.638 0.000


<2>
KCr2Ga2: relaxed, PBE-GGA.

V = 168.6 Å³/cell

Cell lengths 8.073, 8.073, 2.587 Å; angles 90.00, 90.00, 90.00 degrees
Fractional coordinates of all 10 atoms:
K 0.000 0.000 0.000
K 0.500 0.500 0.000
Cr 0.097 0.403 0.000
Cr 0.403 0.903 0.000
Cr 0.597 0.097 0.000
Cr 0.903 0.597 0.000
Ga 0.184 0.684 0.500
Ga 0.316 0.184 0.500
Ga 0.684 0.816 0.500
Ga 0.816 0.316 0.500


<3>
KCr2Ga2: relaxed, PBE-GGA.

V = 97.1 Å³/cell

Cell lengths 5.305, 5.305, 5.305 Å; angles 124.66, 124.66, 82.10 degrees
Fractional coordinates of all 5 atoms:
K 0.000 0.000 0.000
Cr 0.383 0.383 0.000
Cr 0.617 0.617 0.000
Ga 0.250 0.750 0.500
Ga 0.750 0.250 0.500


The most stable arrangement is <2>, and the next structure is 15 meV/atom less stable.


<1>
KCr2GaS: relaxed, PBE-GGA.

V = 130.5 Å³/cell

Cell lengths 4.957, 4.957, 5.310 Å; angles 90.00, 90.00, 90.00 degrees
Fractional coordinates of all 5 atoms:
K 0.000 0.000 0.000
Cr 0.000 0.500 0.500
Cr 0.500 0.000 0.500
Ga 0.500 0.500 0.500
S 0.500 0.500 0.000


<2>
KCr2GaS: relaxed, PBE-GGA.

V = 130.9 Å³/cell

Cell lengths 4.736, 4.736, 5.838 Å; angles 90.00, 90.00, 90.00 degrees
Fractional coordinates of all 5 atoms:
K 0.000 0.000 0.000
Cr 0.000 0.500 0.500
Cr 0.500 0.000 0.500
Ga 0.500 0.500 0.000
S 0.500 0.500 0.500


The most stable arrangement is <2>, and the next structure is 193 meV/atom less stable.